(1)
CaZr2Se PBEsol relaxed; N(E_F) = 5.64 states/eV/cell; uncorrected formation energy = -0.338 eV per atom; VASP energy = -0.4688 Ry per atom; symmetry = P4/mmm (123)
1.0
3.2913 0.0000 0.0000
0.0000 3.2913 0.0000
0.0000 0.0000 8.7985
Ca Zr Se
1 2 1
Cartesian
0.0000 0.0000 0.0000
1.6457 1.6457 2.8165
1.6457 1.6457 5.9820
0.0000 0.0000 4.3992

***

(2)
CaZrSe4 PBEsol relaxed; N(E_F) = 6.30 states/eV/cell; uncorrected formation energy = 0.037 eV per atom; VASP energy = -0.3234 Ry per atom; symmetry = F-43m (216)
1.0
0.0000 4.0354 4.0354
4.0354 0.0000 4.0354
4.0354 4.0354 0.0000
Ca Zr Se
1 1 4
Cartesian
0.0000 0.0000 0.0000
2.0177 2.0177 2.0177
5.0391 3.0316 3.0316
3.0316 5.0391 3.0316
3.0316 3.0316 5.0391
5.0391 5.0391 5.0391

***

(3)
Ca3ZrSe PBEsol relaxed; N(E_F) = 6.07 states/eV/cell; uncorrected formation energy = -0.154 eV per atom; VASP energy = -0.2956 Ry per atom; symmetry = Pm-3m (221)
1.0
5.5001 0.0000 0.0000
0.0000 5.5001 0.0000
0.0000 0.0000 5.5001
Ca Zr Se
3 1 1
Cartesian
0.0000 0.0000 2.7501
0.0000 2.7501 0.0000
2.7501 0.0000 0.0000
2.7501 2.7501 2.7501
0.0000 0.0000 0.0000

***

(4)
Ca2Si PBEsol relaxed; N(E_F) = 0.07 states/eV/cell; uncorrected formation energy = -0.488 eV per atom; VASP energy = -0.2812 Ry per atom; symmetry = Pnma (62)
1.0
7.4573 0.0000 0.0000
0.0000 4.7861 0.0000
0.0000 0.0000 8.9440
Ca Si
8 4
Cartesian
0.1457 1.1965 1.6205
1.1733 1.1965 5.1373
2.5553 3.5896 0.6653
3.5830 3.5896 6.0925
3.8744 1.1965 2.8516
4.9020 1.1965 8.2787
6.2840 3.5896 3.8067
7.3116 3.5896 7.3236
1.8531 3.5896 3.5364
1.8756 1.1965 8.0084
5.5818 3.5896 0.9357
5.6042 1.1965 5.4077

***

(5)
Ca2Si PBEsol relaxed; N(E_F) = 2.02 states/eV/cell; uncorrected formation energy = -0.242 eV per atom; VASP energy = -0.2631 Ry per atom; symmetry = Cmcm (63)
1.0
2.1501 -7.2387 0.0000
2.1501 7.2387 0.0000
0.0000 0.0000 5.0189
Ca Si
4 2
Cartesian
2.1501 6.3380 3.7642
2.1501 3.7043 1.2547
2.1501 -3.7043 3.7642
2.1501 -6.3380 1.2547
2.1501 1.6123 3.7642
2.1501 -1.6123 1.2547

***

(6)
Ca2Si PBEsol relaxed; N(E_F) = 4.34 states/eV/cell; uncorrected formation energy = -0.239 eV per atom; VASP energy = -0.2629 Ry per atom; symmetry = I4_1/amd (141)
1.0
-1.7237 1.7237 14.4093
1.7237 -1.7237 14.4093
1.7237 1.7237 -14.4093
Ca Si
4 2
Cartesian
1.7237 0.8619 1.7996
1.7237 0.8619 5.4051
0.0000 0.8619 9.0042
0.0000 0.8619 12.6098
1.7237 -0.8619 10.8070
0.0000 2.5856 3.6023

***

(7)
Ca5Si3 PBEsol relaxed; N(E_F) = 12.30 states/eV/cell; uncorrected formation energy = -0.518 eV per atom; VASP energy = -0.2945 Ry per atom; symmetry = I4/mcm (140)
1.0
-3.7797 3.7797 7.2933
3.7797 -3.7797 7.2933
3.7797 3.7797 -7.2933
Ca Si
10 6
Cartesian
0.0000 0.0000 0.0000
5.1346 1.3549 -2.0571
1.3549 2.4248 -2.0571
5.1346 1.3549 2.0571
1.3549 2.4248 2.0571
0.0000 0.0000 7.2933
2.4248 1.3549 5.2362
-1.3549 2.4248 5.2362
2.4248 1.3549 9.3504
-1.3549 2.4248 9.3504
2.9268 0.8529 0.0000
0.0000 0.0000 3.6466
2.9268 -0.8529 7.2933
0.8529 4.6326 0.0000
0.0000 0.0000 10.9399
0.8529 2.9268 7.2933

***

(8)
Ca2Si PBEsol relaxed; uncorrected formation energy = -0.453 eV per atom; VASP energy = -0.2786 Ry per atom; symmetry = Fm-3m (225)
1.0
0.0000 3.5457 3.5457
3.5457 0.0000 3.5457
3.5457 3.5457 0.0000
Ca Si
2 1
Cartesian
1.7728 1.7728 1.7728
5.3185 5.3185 5.3185
0.0000 0.0000 0.0000

***

(9)
CaSi2Sn PBEsol relaxed; N(E_F) = 1.83 states/eV/cell; uncorrected formation energy = 0.005 eV per atom; VASP energy = -0.3283 Ry per atom; symmetry = I-42d (122)
1.0
-3.8179 3.8179 3.1226
3.8179 -3.8179 3.1226
3.8179 3.8179 -3.1226
Ca Si Sn
2 4 2
Cartesian
0.0000 0.0000 0.0000
0.0000 3.8179 1.5613
1.9089 2.1750 -0.7807
5.4608 1.9089 0.7807
1.9089 1.6429 2.3420
-1.6429 1.9089 3.9033
3.8179 0.0000 1.5613
0.0000 0.0000 3.1226

***

(10)
CaSi2Sn2 PBEsol relaxed; N(E_F) = 1.85 states/eV/cell; uncorrected formation energy = -0.088 eV per atom; VASP energy = -0.3320 Ry per atom; symmetry = I4/mmm (139)
1.0
-2.5901 2.5901 4.3562
2.5901 -2.5901 4.3562
2.5901 2.5901 -4.3562
Ca Si Sn
1 2 2
Cartesian
0.0000 0.0000 0.0000
0.0000 0.0000 3.1612
0.0000 0.0000 5.5512
2.5901 0.0000 2.1781
0.0000 2.5901 2.1781

***

(11)
SrCa2Si PBEsol relaxed; N(E_F) = 3.97 states/eV/cell; uncorrected formation energy = -0.164 eV per atom; VASP energy = -0.2299 Ry per atom; symmetry = P4/mmm (123)
1.0
3.6453 0.0000 0.0000
0.0000 3.6453 0.0000
0.0000 0.0000 9.9363
Sr Ca Si
1 2 1
Cartesian
0.0000 0.0000 0.0000
1.8226 1.8226 3.2726
1.8226 1.8226 6.6637
0.0000 0.0000 4.9682

***

(12)
SrCa2Si6 PBEsol relaxed; N(E_F) = 1.93 states/eV/cell; uncorrected formation energy = -0.407 eV per atom; VASP energy = -0.3613 Ry per atom; symmetry = C2/m (12)
1.0
5.9568 -1.9552 0.0000
5.9568 1.9552 0.0000
-0.1952 0.0000 8.3044
Sr Ca Si
1 2 6
Cartesian
0.0000 0.0000 0.0000
3.7965 0.0000 5.5490
7.9219 0.0000 2.7554
0.9126 0.0000 4.7842
3.0121 0.0000 0.6966
4.9190 0.0000 2.1502
6.7994 0.0000 6.1542
8.7064 0.0000 7.6077
10.8058 0.0000 3.5202